(1)
Compound: Ni12Sb3Mo
Source: Alexandria via LeMat-Bulk
Functional: PBE-GGA
Structure: relaxed

Properties
ΔE_f (raw), eV per formula unit: -1.55
Raw total energy, eV/atom: -5.883
Total moment, Bohr magnetons per cell: 0.00

Unit cell a=3.7051 b=3.7051 c=14.8889 alpha=90.00 beta=90.00 gamma=90.00
Closest atoms and distances in Å follow each position.
Fractional positions:
Ni1 0.0000 0.0000 0.0000  8 Ni 2.54, 4 Mo 2.62
Ni2 0.0000 0.0000 0.2463  4 Sb 2.62, 8 Ni 2.65-2.67
Ni3 0.0000 0.0000 0.5000  4 Sb 2.62, 8 Ni 2.64
Ni4 0.0000 0.0000 0.7537  4 Sb 2.62, 8 Ni 2.65-2.67
Ni5 0.0000 0.5000 0.1169  2 Mo 2.54, 8 Ni 2.54-2.67, 2 Sb 2.69
Ni6 0.0000 0.5000 0.3736  8 Ni 2.62-2.65, 4 Sb 2.63-2.64
Ni7 0.0000 0.5000 0.6264  8 Ni 2.62-2.65, 4 Sb 2.63-2.64
Ni8 0.0000 0.5000 0.8831  2 Mo 2.54, 8 Ni 2.54-2.67, 2 Sb 2.69
Ni9 0.5000 0.0000 0.1169  2 Mo 2.54, 8 Ni 2.54-2.67, 2 Sb 2.69
Ni10 0.5000 0.0000 0.3736  8 Ni 2.62-2.65, 4 Sb 2.63-2.64
Ni11 0.5000 0.0000 0.6264  8 Ni 2.62-2.65, 4 Sb 2.63-2.64
Ni12 0.5000 0.0000 0.8831  2 Mo 2.54, 8 Ni 2.54-2.67, 2 Sb 2.69
Sb1 0.5000 0.5000 0.2478  12 Ni 2.62-2.69
Sb2 0.5000 0.5000 0.5000  12 Ni 2.62-2.64
Sb3 0.5000 0.5000 0.7522  12 Ni 2.62-2.69
Mo1 0.5000 0.5000 0.0000  12 Ni 2.54-2.62

(2)
Compound: Ni2SbMo
Source: Alexandria via LeMat-Bulk
Functional: PBE-GGA
Structure: relaxed

Properties
ΔE_f (raw), eV per formula unit: 0.56
Raw total energy, eV/atom: -6.490
Total moment, Bohr magnetons per cell: 0.84

Unit cell a=4.8238 b=4.8238 c=4.8238 alpha=135.43 beta=130.90 gamma=68.46
Closest atoms and distances in Å follow each position.
Fractional positions:
Ni1 0.0000 0.0000 0.0000  4 Ni 2.61-2.92, 4 Sb 2.66-2.87, 4 Mo 2.71
Ni2 0.7658 0.2658 0.5000  4 Ni 2.61-2.92, 4 Sb 2.72, 4 Mo 2.73-2.81
Sb1 0.2421 0.7421 0.5000  8 Ni 2.66-2.87, 4 Mo 2.74-2.79
Mo1 0.4984 0.4984 0.0000  8 Ni 2.71-2.81, 4 Sb 2.74-2.79

(3)
Compound: NiSbMo2
Source: Alexandria via LeMat-Bulk
Functional: PBE-GGA
Structure: relaxed

Properties
ΔE_f (raw), eV per formula unit: 1.11
Raw total energy, eV/atom: -7.614
Total moment, Bohr magnetons per cell: 0.00

Unit cell a=4.4748 b=4.4748 c=4.4748 alpha=60.00 beta=60.00 gamma=60.00
Closest atoms and distances in Å follow each position.
Fractional positions:
Ni1 0.0000 0.0000 0.0000  4 Mo 2.74, 4 Sb 2.74
Sb1 0.2500 0.2500 0.2500  4 Mo 2.74, 4 Ni 2.74
Mo1 0.5000 0.5000 0.5000  4 Mo 2.74, 4 Sb 2.74
Mo2 0.7500 0.7500 0.7500  4 Mo 2.74, 4 Ni 2.74

(4)
Compound: NiSb2Mo
Source: Alexandria via LeMat-Bulk
Functional: PBE-GGA
Structure: relaxed

Properties
Excess energy over the best structure of this formula in the dataset, eV per atom: 0.344
ΔE_f (raw), eV per formula unit: 1.41
Raw total energy, eV/atom: -5.861
Total moment, Bohr magnetons per cell: 1.33

Unit cell a=4.6904 b=4.6904 c=4.6904 alpha=60.00 beta=60.00 gamma=60.00
Closest atoms and distances in Å follow each position.
Fractional positions:
Ni1 0.0000 0.0000 0.0000  8 Sb 2.87
Sb1 0.2500 0.2500 0.2500  4 Mo 2.87, 4 Ni 2.87
Sb2 0.7500 0.7500 0.7500  4 Mo 2.87, 4 Ni 2.87
Mo1 0.5000 0.5000 0.5000  8 Sb 2.87

(5)
Compound: NiSbMo2
Source: Alexandria via LeMat-Bulk
Functional: PBE-GGA
Structure: relaxed

Properties
ΔE_f (raw), eV per formula unit: 0.76
Raw total energy, eV/atom: -7.701
Total moment, Bohr magnetons per cell: 0.00

Unit cell a=4.8094 b=4.8094 c=4.8094 alpha=130.31 beta=130.31 gamma=72.90
Closest atoms and distances in Å follow each position.
Fractional positions:
Ni1 0.0000 0.0000 0.0000  8 Mo 2.80-2.86, 4 Sb 2.80
Sb1 0.2500 0.7500 0.5000  8 Mo 2.80-2.86, 4 Ni 2.80
Mo1 0.5000 0.5000 0.0000  4 Mo 2.80, 4 Sb 2.80, 4 Ni 2.86
Mo2 0.7500 0.2500 0.5000  4 Mo 2.80, 4 Ni 2.80, 4 Sb 2.86

(6)
Compound: NiSbMo2
Source: Alexandria via LeMat-Bulk
Functional: PBE-GGA
Structure: relaxed

Properties
ΔE_f (raw), eV per formula unit: 0.68
Raw total energy, eV/atom: -7.722
Total moment, Bohr magnetons per cell: 0.00

Unit cell a=4.9566 b=4.9566 c=4.3471 alpha=104.04 beta=104.04 gamma=38.28
Closest atoms and distances in Å follow each position.
Fractional positions:
Ni1 0.0000 0.0000 0.0000  4 Sb 2.71, 6 Mo 2.79-2.80
Sb1 0.5000 0.5000 0.5000  4 Ni 2.71, 6 Mo 2.85-2.87
Mo1 0.2535 0.2535 0.7705  4 Mo 2.59-2.85, 3 Ni 2.79-2.80, 3 Sb 2.85-2.87
Mo2 0.7465 0.7465 0.2295  4 Mo 2.59-2.85, 3 Ni 2.79-2.80, 3 Sb 2.85-2.87

(7)
Compound: NiSb2Mo
Source: Alexandria via LeMat-Bulk
Functional: PBE-GGA
Structure: relaxed

Properties
Excess energy over the best structure of this formula in the dataset, eV per atom: 0.109
ΔE_f (raw), eV per formula unit: 0.47
Raw total energy, eV/atom: -6.096
Total moment, Bohr magnetons per cell: 0.00

Unit cell a=3.0989 b=3.0989 c=8.7448 alpha=90.00 beta=90.00 gamma=90.00
Closest atoms and distances in Å follow each position.
Fractional positions:
Ni1 0.0000 0.0000 0.0000  4 Mo 2.64, 4 Sb 2.70
Sb1 0.0000 0.0000 0.6074  4 Mo 2.94, 4 Sb 3.10
Sb2 0.5000 0.5000 0.1803  4 Ni 2.70
Mo1 0.5000 0.5000 0.8314  4 Ni 2.64, 4 Sb 2.94

(8)
Compound: NiSb2Mo
Source: Alexandria via LeMat-Bulk
Functional: PBE-GGA
Structure: relaxed

Properties
Excess energy over the best structure of this formula in the dataset, eV per atom: 0.325
ΔE_f (raw), eV per formula unit: 1.34
Raw total energy, eV/atom: -5.880
Total moment, Bohr magnetons per cell: 0.00

Unit cell a=4.8282 b=4.8282 c=4.8282 alpha=125.49 beta=125.49 gamma=80.72
Closest atoms and distances in Å follow each position.
Fractional positions:
Ni1 0.0000 0.0000 0.0000  8 Sb 2.88, 4 Mo 3.13
Sb1 0.2500 0.7500 0.5000  4 Mo 2.88, 4 Ni 2.88, 4 Sb 3.13
Sb2 0.7500 0.2500 0.5000  4 Mo 2.88, 4 Ni 2.88, 4 Sb 3.13
Mo1 0.5000 0.5000 0.0000  8 Sb 2.88, 4 Ni 3.13

(9)
Compound: Ni2SbMo
Source: Alexandria via LeMat-Bulk
Functional: PBE-GGA
Structure: relaxed

Properties
ΔE_f (raw), eV per formula unit: 1.46
Raw total energy, eV/atom: -6.264
Total moment, Bohr magnetons per cell: 0.00

Unit cell a=8.5118 b=8.5118 c=8.5118 alpha=19.71 beta=19.71 gamma=19.71
Closest atoms and distances in Å follow each position.
Fractional positions:
Ni1 0.2489 0.2489 0.2489  3 Mo 2.66, 3 Sb 2.70, 6 Ni 2.91
Ni2 0.7511 0.7511 0.7511  3 Mo 2.66, 3 Sb 2.70, 6 Ni 2.91
Sb1 0.0000 0.0000 0.0000  6 Ni 2.70, 6 Sb 2.91
Mo1 0.5000 0.5000 0.5000  6 Ni 2.66, 6 Mo 2.91

(10)
Compound: Ni2SbMo
Source: Alexandria via LeMat-Bulk
Functional: PBE-GGA
Structure: relaxed

Properties
ΔE_f (raw), eV per formula unit: 0.55
Raw total energy, eV/atom: -6.490
Total moment, Bohr magnetons per cell: 0.64

Unit cell a=3.3110 b=3.3110 c=5.4922 alpha=90.00 beta=90.00 gamma=90.00
Closest atoms and distances in Å follow each position.
Fractional positions:
Ni1 0.0000 0.0000 0.2253  1 Ni 2.47, 4 Mo 2.65
Ni2 0.0000 0.0000 0.7747  1 Ni 2.47, 4 Mo 2.65
Sb1 0.5000 0.5000 0.5000  2 Mo 2.75, 8 Ni 2.79
Mo1 0.5000 0.5000 0.0000  8 Ni 2.65, 2 Sb 2.75

(11)
Compound: NiSbMo2
Source: Alexandria via LeMat-Bulk
Functional: PBE-GGA
Structure: relaxed

Properties
ΔE_f (raw), eV per formula unit: 0.51
Raw total energy, eV/atom: -7.765
Total moment, Bohr magnetons per cell: 0.00

Unit cell a=3.3432 b=3.3432 c=5.7473 alpha=90.00 beta=90.00 gamma=90.00
Closest atoms and distances in Å follow each position.
Fractional positions:
Ni1 0.0000 0.0000 0.0000  4 Sb 2.70, 5 Mo 2.71-2.77
Sb1 0.5000 0.5000 0.2280  4 Ni 2.70, 6 Mo 2.75-2.99
Mo1 0.0000 0.0000 0.5280  4 Mo 2.68, 1 Ni 2.71, 4 Sb 2.93
Mo2 0.5000 0.5000 0.7489  4 Mo 2.68, 2 Sb 2.75-2.99, 4 Ni 2.77

(12)
Compound: NiSb2Mo
Source: Alexandria via LeMat-Bulk
Functional: PBE-GGA
Structure: relaxed

Properties
Excess energy over the best structure of this formula in the dataset, eV per atom: 0.165
ΔE_f (raw), eV per formula unit: 0.70
Raw total energy, eV/atom: -6.040
Total moment, Bohr magnetons per cell: 0.00

Unit cell a=3.3897 b=3.3897 c=6.1481 alpha=90.00 beta=90.00 gamma=90.00
Closest atoms and distances in Å follow each position.
Fractional positions:
Ni1 0.0000 0.0000 0.0000  8 Sb 2.83, 2 Mo 3.07
Sb1 0.5000 0.5000 0.2446  4 Ni 2.83, 4 Mo 2.87, 2 Sb 3.01-3.14
Sb2 0.5000 0.5000 0.7554  4 Ni 2.83, 4 Mo 2.87, 2 Sb 3.01-3.14
Mo1 0.0000 0.0000 0.5000  8 Sb 2.87, 2 Ni 3.07

> What is the raw total energy in the first record?

-5.883 eV/atom